(1)
Material: Pm12Nd3Th
Method: DFT, PBE
State: optimized geometry

Calculated values
Volume = 550.85 Å³/f.u.
Formation enthalpy at 0 K = 33 kJ/mol of formula units
Fermi-level density of states = 22.515 states/eV/cell

abc: 5.165 5.165 20.650
angles: 90.00 90.00 90.00
Space group P4/mmm (No. 123)
One atom of each set of equivalent atoms:
Pm1 0.000 0.000 0.000 [1 per cell]
Pm2 0.000 0.000 0.250 [2 per cell]
Pm3 0.000 0.000 0.500 [1 per cell]
Pm4 0.000 0.500 0.122 [4 per cell]
Pm5 0.000 0.500 0.374 [4 per cell]
Nd1 0.500 0.500 0.249 [2 per cell]
Nd2 0.500 0.500 0.500 [1 per cell]
Th1 0.500 0.500 0.000 [1 per cell]

***

(2)
Material: OsPtSCl2
Method: DFT, PBE
State: optimized geometry

Calculated values
Volume = 110.57 Å³/f.u.
Uncorrected formation energy = 29.30 kcal/mol of atoms
Energy above the most stable polymorph in this dataset = 383 meV per atom
Fermi-level density of states = 4.796 states/eV/cell

abc: 4.818 4.818 4.763
angles: 90.00 90.00 90.00
Space group P4/mmm (No. 123)
One atom of each set of equivalent atoms:
Os1 0.000 0.000 0.000 [1 per cell]
Pt1 0.500 0.500 0.500 [1 per cell]
S1 0.500 0.500 0.000 [1 per cell]
Cl1 0.000 0.500 0.500 [2 per cell]

***

(3)
Material: SmDy3Ho
Method: DFT, PBE
State: optimized geometry

Calculated values
Volume = 158.72 Å³/f.u.
Formation enthalpy at 0 K = 8 kJ/mol of formula units
Energy above the most stable polymorph in this dataset = 0 meV per atom
Fermi-level density of states = 12.951 states/eV/cell

abc: 7.944 5.025 7.953
angles: 90.00 90.05 90.00
Space group P2_1/m (No. 11)
One atom of each set of equivalent atoms:
Sm1 0.151 0.250 0.449 [2 per cell]
Dy1 0.050 0.750 0.148 [2 per cell]
Dy2 0.252 0.750 0.751 [2 per cell]
Dy3 0.449 0.750 0.349 [2 per cell]
Ho1 0.351 0.250 0.049 [2 per cell]

***

(4)
Material: Ca2ZnHg5
Method: DFT, PBE
State: optimized geometry

Calculated values
Volume = 206.67 Å³/f.u.
Formation enthalpy at 0 K = -221 kJ/mol of formula units
Fermi-level density of states = 15.258 states/eV/cell

abc: 4.470 18.103 10.217
angles: 90.00 90.00 90.00
Space group Cmcm (No. 63)
One atom of each set of equivalent atoms:
Ca1 0.000 0.000 0.000 [4 per cell]
Ca2 0.000 0.192 0.250 [4 per cell]
Zn1 0.000 0.454 0.750 [4 per cell]
Hg1 0.000 0.201 0.603 [8 per cell]
Hg2 0.000 0.370 0.539 [8 per cell]
Hg3 0.000 0.402 0.250 [4 per cell]

***

(5)
Material: Zn4Pd5Au2
Method: DFT, PBE
State: optimized geometry

Calculated values
Volume = 168.87 Å³/f.u.
Formation enthalpy at 0 K = -392 kJ/mol of formula units
Fermi-level density of states = 3.854 states/eV/cell

abc: 4.076 5.040 9.123
angles: 80.89 89.95 66.16
Space group P-1 (No. 2)
One atom of each set of equivalent atoms:
Zn1 0.054 0.393 0.334 [2 per cell]
Zn2 0.308 0.884 0.224 [2 per cell]
Pd1 0.139 0.221 0.939 [2 per cell]
Pd2 0.217 0.068 0.600 [2 per cell]
Pd3 0.500 0.500 0.500 [1 per cell]
Au1 0.421 0.658 0.855 [2 per cell]

***

(6)
Material: LaSb3P
Method: DFT, PBE
State: optimized geometry

Calculated values
Volume = 144.45 Å³/f.u.
Uncorrected formation energy = -2.32 kcal/mol of atoms
Energy above the most stable polymorph in this dataset = 0 meV per atom
Fermi-level density of states = 3.942 states/eV/cell

abc: 5.247 5.247 5.247
angles: 90.00 90.00 90.00
Space group Pm-3m (No. 221)
One atom of each set of equivalent atoms:
La1 0.000 0.000 0.000 [1 per cell]
Sb1 0.000 0.500 0.500 [3 per cell]
P1 0.500 0.500 0.500 [1 per cell]